Record 1
DFT (PBE-GGA) results for a relaxed structure of ZnReP2.

a = 3.064 Å, b = 3.064 Å, c = 6.580 Å
α = 90.00°, β = 90.00°, γ = 90.00°
Element x y z (fractional)
Zn 0.000 0.000 0.000
Re 0.500 0.500 0.731
P 0.000 0.000 0.565
P 0.500 0.500 0.351

Output
- symmetry = P4mm (99)
- N(E_F) (states/eV/f.u.) = 1.401
- theoretical density (g/cm3) = 8.43
- total moment (μB/f.u.) = 0.000
- volume (Å³ per atom) = 15.45
- energy of formation from the pure elements (meV/atom) = 251


Record 2
DFT (PBE-GGA) results for a relaxed structure of NpTaB2.

a = 6.365 Å, b = 6.365 Å, c = 6.365 Å
α = 29.57°, β = 29.57°, γ = 29.57°
Element x y z (fractional)
Np 0.000 0.000 0.000
Ta 0.500 0.500 0.500
B 0.241 0.241 0.241
B 0.759 0.759 0.759

Output
- symmetry = R-3m (166)
- N(E_F) (states/eV/f.u.) = 3.515
- theoretical density (g/cm3) = 13.13
- total moment (μB/f.u.) = 2.254
- volume (Å³ per atom) = 13.90
- energy of formation from the pure elements (meV/atom) = -23


Q: Which of these has the lowest theoretical density?
A: ZnReP2


Copy entry 1 word for word.
DFT (PBE-GGA) results for a relaxed structure of ZnReP2.

a = 3.064 Å, b = 3.064 Å, c = 6.580 Å
α = 90.00°, β = 90.00°, γ = 90.00°
Element x y z (fractional)
Zn 0.000 0.000 0.000
Re 0.500 0.500 0.731
P 0.000 0.000 0.565
P 0.500 0.500 0.351

Output
- symmetry = P4mm (99)
- N(E_F) (states/eV/f.u.) = 1.401
- theoretical density (g/cm3) = 8.43
- total moment (μB/f.u.) = 0.000
- volume (Å³ per atom) = 15.45
- energy of formation from the pure elements (meV/atom) = 251


Q: The highest theoretical density belongs to which entry?
A: NpTaB2


Q: Which of these has the lowest volume?
A: NpTaB2